# 1
VASP calculation (GGA-PBE) on a geometry-optimized Li3NiN2 structure.

Unit cell a=7.1326 b=7.1326 c=10.6249 alpha=90.00 beta=90.00 gamma=90.00
Space group I4_1/amd (No. 141, origin choice 2)
Inequivalent atoms, fractional coordinates:
1 Li 0.0000 0.2500 0.2574 (multiplicity 8)
2 Li 0.2259 0.0241 0.8750 (multiplicity 16)
3 Ni 0.0000 0.2500 0.0201 (multiplicity 8)
4 N 0.0000 0.0133 0.7234 (multiplicity 16)

## Properties
**Polymorph energy (0 for the lowest one)**: 110.2 meV per atom
**Uncorrected formation energy**: -0.6 eV per formula unit
**D(E_F)**: 17.53 states/eV/cell



# 2
VASP calculation (GGA-PBE) on a geometry-optimized LiMnPdPt structure.

Unit cell a=3.0725 b=3.0725 c=5.9948 alpha=90.00 beta=90.00 gamma=90.00
Space group P4mm (No. 99)
Inequivalent atoms, fractional coordinates:
1 Li 0.0000 0.0000 0.0000 (multiplicity 1)
2 Mn 0.0000 0.0000 0.4969 (multiplicity 1)
3 Pd 0.5000 0.5000 0.7581 (multiplicity 1)
4 Pt 0.5000 0.5000 0.2421 (multiplicity 1)

## Properties
**ΔH_f (0 K)**: -0.41 eV/atom
**D(E_F)**: 1.31 states/eV/cell



# 3
VASP calculation (GGA-PBE) on a geometry-optimized AcBiPd3Au structure.

Unit cell a=6.1048 b=12.4936 c=7.3789 alpha=90.00 beta=90.00 gamma=90.00
Space group Cmcm (No. 63)
Inequivalent atoms, fractional coordinates:
1 Ac 0.0000 0.1675 0.2500 (multiplicity 4)
2 Bi 0.0000 0.1364 0.7500 (multiplicity 4)
3 Pd 0.0000 0.3595 0.7500 (multiplicity 4)
4 Pd 0.2347 0.0000 0.0000 (multiplicity 8)
5 Au 0.0000 0.4089 0.2500 (multiplicity 4)

## Properties
**ΔH_f (0 K)**: -0.44 eV/atom
**D(E_F)**: 16.56 states/eV/cell



# 4
VASP calculation (GGA-PBE) on a geometry-optimized SrIn12Sn6 structure.

Unit cell a=13.9212 b=13.9212 c=10.2190 alpha=90.00 beta=90.00 gamma=120.00
Space group R-3m (No. 166, hexagonal axes)
Inequivalent atoms, fractional coordinates:
1 Sr 0.0000 0.0000 0.0000 (multiplicity 3)
2 In 0.0000 0.3909 0.5000 (multiplicity 18)
3 In 0.0795 0.1590 0.2896 (multiplicity 18)
4 Sn 0.0560 0.5280 0.2260 (multiplicity 18)

## Properties
**Polymorph energy (0 for the lowest one)**: 14.1 meV per atom
**ΔH_f (0 K)**: 0.01 eV/atom
**D(E_F)**: 26.87 states/eV/cell



# 5
VASP calculation (GGA-PBE) on a geometry-optimized K2RbBi structure.

Unit cell a=5.7932 b=5.7932 c=24.6219 alpha=90.00 beta=90.00 gamma=90.00
Space group I-42d (No. 122)
Inequivalent atoms, fractional coordinates:
1 K 0.2021 0.2500 0.1250 (multiplicity 8)
2 Rb 0.0000 0.0000 0.5000 (multiplicity 4)
3 Bi 0.0000 0.0000 0.0000 (multiplicity 4)

## Properties
**ΔH_f (0 K)**: -0.12 eV/atom
**D(E_F)**: 3.21 states/eV/cell



# 6
VASP calculation (GGA-PBE) on a geometry-optimized NdSmN structure.

Unit cell a=3.4446 b=3.4446 c=13.7592 alpha=90.00 beta=90.00 gamma=90.00
Space group I4mm (No. 107)
Inequivalent atoms, fractional coordinates:
1 Nd 0.0000 0.0000 0.0000 (multiplicity 2)
2 Sm 0.0000 0.0000 0.2947 (multiplicity 2)
3 N 0.0000 0.0000 0.4559 (multiplicity 2)

## Properties
**Polymorph energy (0 for the lowest one)**: 241.1 meV per atom
**Uncorrected formation energy**: -1.9 eV per formula unit
**D(E_F)**: 6.99 states/eV/cell



# 7
VASP calculation (GGA-PBE) on a geometry-optimized Pu2PaMn structure.

Unit cell a=3.1471 b=3.1471 c=30.3987 alpha=90.00 beta=90.00 gamma=120.00
Space group R-3m (No. 166, hexagonal axes)
Inequivalent atoms, fractional coordinates:
1 Pu 0.0000 0.0000 0.0961 (multiplicity 6)
2 Pa 0.0000 0.0000 0.0000 (multiplicity 3)
3 Mn 0.0000 0.0000 0.5000 (multiplicity 3)

## Properties
**Polymorph energy (0 for the lowest one)**: 285.2 meV per atom
**ΔH_f (0 K)**: 0.36 eV/atom
**D(E_F)**: 38.52 states/eV/cell



# 8
VASP calculation (GGA-PBE) on a geometry-optimized BrCl3 structure.

Unit cell a=12.2663 b=4.4242 c=7.6927 alpha=90.00 beta=128.42 gamma=90.00
Space group Cm (No. 8)
Inequivalent atoms, fractional coordinates:
1 Br 0.0000 0.0000 0.0000 (multiplicity 2)
2 Cl 0.2802 0.5000 0.8569 (multiplicity 2)
3 Cl 0.2806 0.0000 0.3688 (multiplicity 2)
4 Cl 0.4756 0.0000 0.4611 (multiplicity 2)

## Properties
**Uncorrected formation energy**: 0.2 eV per formula unit



# 9
VASP calculation (GGA-PBE) on a geometry-optimized K2CuRu structure.

Unit cell a=7.3887 b=7.3887 c=7.3887 alpha=90.00 beta=90.00 gamma=90.00
Space group F-43m (No. 216)
Inequivalent atoms, fractional coordinates:
1 K 0.0000 0.0000 0.0000 (multiplicity 4)
2 K 0.2500 0.2500 0.2500 (multiplicity 4)
3 Cu 0.0000 0.0000 0.5000 (multiplicity 4)
4 Ru 0.2500 0.2500 0.7500 (multiplicity 4)

## Properties
**Polymorph energy (0 for the lowest one)**: 455.0 meV per atom
**ΔH_f (0 K)**: 1.15 eV/atom
**D(E_F)**: 17.27 states/eV/cell



# 10
VASP calculation (GGA-PBE) on a geometry-optimized CeNdOsRu structure.

Unit cell a=6.9854 b=6.9854 c=6.9854 alpha=90.00 beta=90.00 gamma=90.00
Space group F-43m (No. 216)
Inequivalent atoms, fractional coordinates:
1 Ce 0.0000 0.0000 0.0000 (multiplicity 4)
2 Nd 0.0000 0.0000 0.5000 (multiplicity 4)
3 Os 0.2500 0.2500 0.2500 (multiplicity 4)
4 Ru 0.2500 0.2500 0.7500 (multiplicity 4)

## Properties
**ΔH_f (0 K)**: -0.06 eV/atom
**D(E_F)**: 16.95 states/eV/cell



# 11
VASP calculation (GGA-PBE) on a geometry-optimized YSc2Mo structure.

Unit cell a=3.2646 b=3.2646 c=31.5444 alpha=90.00 beta=90.00 gamma=120.00
Space group R-3m (No. 166, hexagonal axes)
Inequivalent atoms, fractional coordinates:
1 Y 0.0000 0.0000 0.0000 (multiplicity 3)
2 Sc 0.0000 0.0000 0.1033 (multiplicity 6)
3 Mo 0.0000 0.0000 0.5000 (multiplicity 3)

## Properties
**Polymorph energy (0 for the lowest one)**: 211.6 meV per atom
**ΔH_f (0 K)**: 0.36 eV/atom
**D(E_F)**: 22.10 states/eV/cell



# 12
VASP calculation (GGA-PBE) on a geometry-optimized Ce2Zn4Ga structure.

Unit cell a=5.8860 b=5.9100 c=8.4476 alpha=90.00 beta=105.53 gamma=90.00
Space group P2_1/m (No. 11)
Inequivalent atoms, fractional coordinates:
1 Ce 0.1213 0.2500 0.3985 (multiplicity 2)
2 Ce 0.2600 0.7500 0.0116 (multiplicity 2)
3 Zn 0.2711 0.2500 0.0921 (multiplicity 2)
4 Zn 0.3113 0.7500 0.4087 (multiplicity 2)
5 Zn 0.4123 0.5276 0.6957 (multiplicity 4)
6 Ga 0.1202 0.2500 0.7805 (multiplicity 2)

## Properties
**ΔH_f (0 K)**: -0.31 eV/atom
**D(E_F)**: 24.16 states/eV/cell



# 13
VASP calculation (GGA-PBE) on a geometry-optimized SrTl2AgI5 structure.

Unit cell a=4.7608 b=20.7191 c=15.1620 alpha=90.00 beta=90.00 gamma=90.00
Space group Cmc2_1 (No. 36)
Inequivalent atoms, fractional coordinates:
1 Sr 0.0000 0.2016 0.0000 (multiplicity 4)
2 Tl 0.0000 0.1034 0.6479 (multiplicity 4)
3 Tl 0.0000 0.1217 0.3050 (multiplicity 4)
4 Ag 0.0000 0.4409 0.4041 (multiplicity 4)
5 I 0.0000 0.0420 0.0061 (multiplicity 4)
6 I 0.0000 0.2891 0.6493 (multiplicity 4)
7 I 0.0000 0.3040 0.3487 (multiplicity 4)
8 I 0.0000 0.3596 0.9825 (multiplicity 4)
9 I 0.0000 0.4946 0.7407 (multiplicity 4)

## Properties
**Uncorrected formation energy**: -8.3 eV per formula unit
**D(E_F)**: 0.00 states/eV/cell



# 14
VASP calculation (GGA-PBE) on a geometry-optimized VSb3Au structure.

Unit cell a=5.0688 b=5.0688 c=5.0688 alpha=90.00 beta=90.00 gamma=90.00
Space group Pm-3m (No. 221)
Inequivalent atoms, fractional coordinates:
1 V 0.0000 0.0000 0.0000 (multiplicity 1)
2 Sb 0.0000 0.0000 0.5000 (multiplicity 3)
3 Au 0.5000 0.5000 0.5000 (multiplicity 1)

## Properties
**Polymorph energy (0 for the lowest one)**: 0.0 meV per atom
**Uncorrected formation energy**: 1.7 eV per formula unit
**D(E_F)**: 4.06 states/eV/cell



# 15
VASP calculation (GGA-PBE) on a geometry-optimized LaSiSb structure.

Unit cell a=4.4419 b=17.6997 c=4.0724 alpha=90.00 beta=90.00 gamma=90.00
Space group Cmcm (No. 63)
Inequivalent atoms, fractional coordinates:
1 La 0.0000 0.1001 0.2500 (multiplicity 4)
2 Si 0.0000 0.4609 0.2500 (multiplicity 4)
3 Sb 0.0000 0.2529 0.7500 (multiplicity 4)

## Properties
**Polymorph energy (0 for the lowest one)**: 0.0 meV per atom
**Uncorrected formation energy**: -2.2 eV per formula unit
**D(E_F)**: 3.52 states/eV/cell



# 16
VASP calculation (GGA-PBE) on a geometry-optimized Ca2ErI structure.

Unit cell a=3.9047 b=3.9047 c=32.2231 alpha=90.00 beta=90.00 gamma=120.00
Space group R-3m (No. 166, hexagonal axes)
Inequivalent atoms, fractional coordinates:
1 Ca 0.0000 0.0000 0.2436 (multiplicity 6)
2 Er 0.0000 0.0000 0.0000 (multiplicity 3)
3 I 0.0000 0.0000 0.5000 (multiplicity 3)

## Properties
**Uncorrected formation energy**: -1.7 eV per formula unit
**D(E_F)**: 11.89 states/eV/cell



# 17
VASP calculation (GGA-PBE) on a geometry-optimized AcSm4Se6 structure.

Unit cell a=4.1886 b=13.7078 c=21.2794 alpha=90.00 beta=90.00 gamma=90.00
Space group Cmcm (No. 63)
Inequivalent atoms, fractional coordinates:
1 Ac 0.0000 0.1582 0.2500 (multiplicity 4)
2 Sm 0.0000 0.0928 0.6242 (multiplicity 8)
3 Sm 0.0000 0.3591 0.5381 (multiplicity 8)
4 Se 0.0000 0.0000 0.0000 (multiplicity 4)
5 Se 0.0000 0.1773 0.7500 (multiplicity 4)
6 Se 0.0000 0.2658 0.0917 (multiplicity 8)
7 Se 0.0000 0.4532 0.6637 (multiplicity 8)

## Properties
**Uncorrected formation energy**: -20.9 eV per formula unit
**D(E_F)**: 14.03 states/eV/cell



# 18
VASP calculation (GGA-PBE) on a geometry-optimized Sr7Bi2P2 structure.

Unit cell a=9.9466 b=11.3597 c=7.6418 alpha=90.00 beta=90.00 gamma=90.00
Space group Cmmm (No. 65)
Inequivalent atoms, fractional coordinates:
1 Sr 0.0000 0.0000 0.0000 (multiplicity 2)
2 Sr 0.0000 0.5000 0.2333 (multiplicity 4)
3 Sr 0.2500 0.2500 0.2426 (multiplicity 8)
4 Bi 0.2196 0.0000 0.5000 (multiplicity 4)
5 P 0.0000 0.2734 0.0000 (multiplicity 4)

## Properties
**ΔH_f (0 K)**: -0.78 eV/atom
**D(E_F)**: 8.37 states/eV/cell



# 19
VASP calculation (GGA-PBE) on a geometry-optimized Al2TlSe structure.

Unit cell a=4.3530 b=4.3530 c=9.8360 alpha=90.00 beta=90.00 gamma=90.00
Space group I4/mmm (No. 139)
Inequivalent atoms, fractional coordinates:
1 Al 0.0000 0.5000 0.2500 (multiplicity 4)
2 Tl 0.0000 0.0000 0.0000 (multiplicity 2)
3 Se 0.0000 0.0000 0.5000 (multiplicity 2)

## Properties
**Polymorph energy (0 for the lowest one)**: 302.4 meV per atom
**Uncorrected formation energy**: 0.7 eV per formula unit
**D(E_F)**: 2.09 states/eV/cell



# 20
VASP calculation (GGA-PBE) on a geometry-optimized CoTe2H structure.

Unit cell a=3.9172 b=3.9172 c=19.2971 alpha=90.00 beta=90.00 gamma=120.00
Space group R-3m (No. 166, hexagonal axes)
Inequivalent atoms, fractional coordinates:
1 Co 0.0000 0.0000 0.0000 (multiplicity 3)
2 Te 0.0000 0.0000 0.3971 (multiplicity 6)
3 H 0.0000 0.0000 0.5000 (multiplicity 3)

## Properties
**Polymorph energy (0 for the lowest one)**: 0.0 meV per atom
**D(E_F)**: 4.83 states/eV/cell